A plane-wave DFT calculation with PBE was carried out for a geometry-optimized SrTmBr5 structure.

a b c (Å): 7.4438 7.4438 10.6110
angles (deg): 106.46 106.46 91.64
Element x y z (fractional)
Sr1 0.0764 0.9236 0.7500
Sr2 0.9236 0.0764 0.2500
Tm1 0.0000 0.5000 0.0000
Tm2 0.5000 0.0000 0.5000
Br1 0.2087 0.2091 0.0417
Br2 0.2091 0.2087 0.5417
Br3 0.2235 0.6053 0.8658
Br4 0.2256 0.7744 0.2500
Br5 0.3947 0.7765 0.6342
Br6 0.6053 0.2235 0.3658
Br7 0.7744 0.2256 0.7500
Br8 0.7765 0.3947 0.1342
Br9 0.7909 0.7913 0.4583
Br10 0.7913 0.7909 0.9583

**N(E_F)**: 0.0 states/eV/cell
**Crystal system**: monoclinic
**Space-group type**: C2/c
**Raw formation energy**: -13.33 eV/f.u.